[1]
First-principles (PBE-GGA) data for Cs6Dy21Te34Cl after structural relaxation, as listed in Alexandria.

Results
E_form (uncorrected): -1.44 eV per atom

abc: 14.4850 14.4850 14.5013
angles: 114.29 114.29 97.65
Atoms (fractional coordinates):
Cs1 0.0422 0.8053 0.7768
Cs2 0.1947 0.9578 0.2232
Cs3 0.2196 0.2196 0.0747
Cs4 0.7804 0.7804 0.9253
Cs5 0.8053 0.0422 0.7768
Cs6 0.9578 0.1947 0.2232
Dy1 0.0459 0.4572 0.7499
Dy2 0.0976 0.9024 0.5000
Dy3 0.1692 0.5726 0.1218
Dy4 0.2447 0.2447 0.7508
Dy5 0.2671 0.4707 0.6110
Dy6 0.3005 0.6995 0.5000
Dy7 0.3982 0.6018 0.0000
Dy8 0.4274 0.8308 0.8782
Dy9 0.4572 0.0459 0.7499
Dy10 0.4707 0.2671 0.6110
Dy11 0.5000 0.5000 0.5000
Dy12 0.5293 0.7329 0.3890
Dy13 0.5428 0.9541 0.2501
Dy14 0.5726 0.1692 0.1218
Dy15 0.6018 0.3982 0.0000
Dy16 0.6995 0.3005 0.5000
Dy17 0.7329 0.5293 0.3890
Dy18 0.7553 0.7553 0.2492
Dy19 0.8308 0.4274 0.8782
Dy20 0.9024 0.0976 0.5000
Dy21 0.9541 0.5428 0.2501
Te1 0.0127 0.6175 0.9419
Te2 0.0595 0.0595 0.6885
Te3 0.0873 0.2880 0.5667
Te4 0.1133 0.5135 0.4369
Te5 0.1349 0.7353 0.3122
Te6 0.2121 0.4151 0.9377
Te7 0.2405 0.6371 0.8109
Te8 0.2647 0.8651 0.6878
Te9 0.2880 0.0873 0.5667
Te10 0.3106 0.3106 0.4318
Te11 0.3411 0.5396 0.3120
Te12 0.3629 0.7595 0.1891
Te13 0.3825 0.9873 0.0581
Te14 0.4151 0.2121 0.9377
Te15 0.4330 0.4330 0.8091
Te16 0.4604 0.6589 0.6880
Te17 0.4865 0.8867 0.5631
Te18 0.5135 0.1133 0.4369
Te19 0.5396 0.3411 0.3120
Te20 0.5670 0.5670 0.1909
Te21 0.5849 0.7879 0.0623
Te22 0.6175 0.0127 0.9419
Te23 0.6371 0.2405 0.8109
Te24 0.6589 0.4604 0.6880
Te25 0.6894 0.6894 0.5682
Te26 0.7120 0.9127 0.4333
Te27 0.7353 0.1349 0.3122
Te28 0.7595 0.3629 0.1891
Te29 0.7879 0.5849 0.0623
Te30 0.8651 0.2647 0.6878
Te31 0.8867 0.4865 0.5631
Te32 0.9127 0.7120 0.4333
Te33 0.9405 0.9405 0.3115
Te34 0.9873 0.3825 0.0581
Cl1 0.0000 0.0000 0.0000



[2]
First-principles (PBE-GGA) data for CsDyTl2Cl6 after structural relaxation, as listed in Alexandria.

Results
E_form (uncorrected): -1.75 eV per atom

abc: 8.2771 8.2771 8.2771
angles: 57.59 57.59 57.59
Atoms (fractional coordinates):
Cs1 0.0000 0.0000 0.0000
Dy1 0.4859 0.4859 0.4859
Tl1 0.2822 0.2822 0.2822
Tl2 0.7946 0.7946 0.7946
Cl1 0.1366 0.6566 0.4171
Cl2 0.2601 0.5802 0.8217
Cl3 0.4171 0.1366 0.6566
Cl4 0.5802 0.8217 0.2601
Cl5 0.6566 0.4171 0.1366
Cl6 0.8217 0.2601 0.5802